P) A plane-wave DFT calculation with PBE was carried out for a relaxed TmInHgSe3 crystal.

It has space group Pnma (No. 62), with a = 12.522 Å, b = 4.184 Å, c = 12.700 Å, α = 90.00°, β = 90.00° and γ = 90.00°. The inequivalent atoms are Tm at (0.036, 0.250, 0.167), In at (0.161, 0.250, 0.527), Hg at (0.239, 0.750, 0.329), Se at (0.026, 0.750, 0.322), Se at (0.084, 0.250, 0.937) and Se at (0.242, 0.750, 0.676).

Its calculated density is 7.200 g/cm3. For the volume, the calculation gives 27.72 Å³/atom.

Q) A plane-wave DFT calculation with PBE was carried out for a relaxed TmInHgSe3 crystal.

It has space group Cmcm (No. 63), with a = 4.177 Å, b = 14.449 Å, c = 10.946 Å, α = 90.00°, β = 90.00° and γ = 90.00°. The inequivalent atoms are Tm at (0.000, 0.000, 0.000), In at (0.000, 0.254, 0.250), Hg at (0.000, 0.453, 0.750), Se at (0.000, 0.077, 0.750) and Se at (0.000, 0.366, 0.540).

Its calculated density is 7.252 g/cm3. For the volume, the calculation gives 27.52 Å³/atom.

Most stable: Q) (next structure +33 meV per atom)

P) A plane-wave DFT calculation with PBE was carried out for a relaxed TaInHg crystal.

It has space group F-43m (No. 216), with a = 6.667 Å, b = 6.667 Å, c = 6.667 Å, α = 90.00°, β = 90.00° and γ = 90.00°. The inequivalent atoms are Ta at (0.000, 0.000, 0.000), In at (0.250, 0.250, 0.250) and Hg at (0.250, 0.250, 0.750).

Its calculated density is 11.125 g/cm3. For the volume, the calculation gives 24.70 Å³/atom.

Q) A plane-wave DFT calculation with PBE was carried out for a relaxed TaInHg crystal.

It has space group F-43m (No. 216), with a = 6.590 Å, b = 6.590 Å, c = 6.590 Å, α = 90.00°, β = 90.00° and γ = 90.00°. The inequivalent atoms are Ta at (0.000, 0.000, 0.000), In at (0.000, 0.000, 0.500) and Hg at (0.250, 0.250, 0.750).

Its calculated density is 11.520 g/cm3. For the volume, the calculation gives 23.85 Å³/atom.

Most stable: P) (next structure +147 meV per atom)

P) A plane-wave DFT calculation with PBE was carried out for a relaxed TbInHg3Te4 crystal.

It has space group P-43m (No. 215), with a = 7.247 Å, b = 7.247 Å, c = 7.247 Å, α = 90.00°, β = 90.00° and γ = 90.00°. The inequivalent atoms are Tb at (0.000, 0.000, 0.000), In at (0.500, 0.500, 0.500), Hg at (0.000, 0.000, 0.500) and Te at (0.233, 0.233, 0.767).

Its calculated density is 6.048 g/cm3. For the volume, the calculation gives 42.28 Å³/atom.

Q) A plane-wave DFT calculation with PBE was carried out for a relaxed TbInHg3Te4 crystal.

It has space group P2_1/m (No. 11), with a = 7.029 Å, b = 8.476 Å, c = 11.183 Å, α = 90.00°, β = 106.23° and γ = 90.00°. The inequivalent atoms are Tb at (0.027, 0.250, 0.293), In at (0.329, 0.750, 0.072), Hg at (0.193, 0.033, 0.567), Hg at (0.485, 0.750, 0.762), Te at (0.148, 0.250, 0.060), Te at (0.261, 0.010, 0.831) and Te at (0.458, 0.250, 0.498).

Its calculated density is 7.195 g/cm3. For the volume, the calculation gives 35.54 Å³/atom.

Most stable: Q) (next structure +7 meV per atom)

P) A plane-wave DFT calculation with PBE was carried out for a relaxed YInHgTe3 crystal.

It has space group Pnma (No. 62), with a = 8.873 Å, b = 4.641 Å, c = 18.554 Å, α = 90.00°, β = 90.00° and γ = 90.00°. The inequivalent atoms are Y at (0.226, 0.250, 0.039), In at (0.067, 0.250, 0.803), Hg at (0.060, 0.250, 0.338), Te at (0.006, 0.250, 0.572), Te at (0.125, 0.750, 0.940) and Te at (0.223, 0.250, 0.207).

Its calculated density is 6.843 g/cm3. For the volume, the calculation gives 31.84 Å³/atom.

Q) A plane-wave DFT calculation with PBE was carried out for a relaxed YInHgTe3 crystal.

It has space group C2/m (No. 12), with a = 19.338 Å, b = 4.345 Å, c = 9.517 Å, α = 90.00°, β = 102.67° and γ = 90.00°. The inequivalent atoms are Y at (0.173, 0.000, 0.091), In at (0.132, 0.000, 0.581), Hg at (0.039, 0.500, 0.222), Te at (0.000, 0.000, 0.000), Te at (0.000, 0.500, 0.500), Te at (0.166, 0.500, 0.861) and Te at (0.193, 0.500, 0.330).

Its calculated density is 6.701 g/cm3. For the volume, the calculation gives 32.51 Å³/atom.

Most stable: Q) (next structure +42 meV per atom)

P) A plane-wave DFT calculation with PBE was carried out for a relaxed ZrInHg3Te4 crystal.

It has space group P2_1/m (No. 11), with a = 6.649 Å, b = 8.791 Å, c = 11.517 Å, α = 90.00°, β = 106.50° and γ = 90.00°. The inequivalent atoms are Zr at (0.128, 0.250, 0.302), In at (0.498, 0.250, 0.542), Hg at (0.206, 0.089, 0.921), Hg at (0.388, 0.750, 0.730), Te at (0.048, 0.750, 0.509), Te at (0.205, 0.750, 0.927) and Te at (0.335, 0.511, 0.257).

Its calculated density is 6.782 g/cm3. For the volume, the calculation gives 35.86 Å³/atom.

Q) A plane-wave DFT calculation with PBE was carried out for a relaxed ZrInHg3Te4 crystal.

It has space group P-43m (No. 215), with a = 7.299 Å, b = 7.299 Å, c = 7.299 Å, α = 90.00°, β = 90.00° and γ = 90.00°. The inequivalent atoms are Zr at (0.000, 0.000, 0.000), In at (0.500, 0.500, 0.500), Hg at (0.000, 0.000, 0.500) and Te at (0.221, 0.221, 0.779).

Its calculated density is 5.629 g/cm3. For the volume, the calculation gives 43.21 Å³/atom.

Most stable: P) (next structure +139 meV per atom)

P) A plane-wave DFT calculation with PBE was carried out for a relaxed UInHg crystal.

It has space group F-43m (No. 216), with a = 7.197 Å, b = 7.197 Å, c = 7.197 Å, α = 90.00°, β = 90.00° and γ = 90.00°. The inequivalent atoms are U at (0.000, 0.000, 0.000), In at (0.250, 0.250, 0.250) and Hg at (0.250, 0.250, 0.750).

Its calculated density is 9.860 g/cm3. For the volume, the calculation gives 31.07 Å³/atom.

Q) A plane-wave DFT calculation with PBE was carried out for a relaxed UInHg crystal.

It has space group F-43m (No. 216), with a = 6.996 Å, b = 6.996 Å, c = 6.996 Å, α = 90.00°, β = 90.00° and γ = 90.00°. The inequivalent atoms are U at (0.000, 0.000, 0.000), In at (0.000, 0.000, 0.500) and Hg at (0.250, 0.250, 0.750).

Its calculated density is 10.735 g/cm3. For the volume, the calculation gives 28.54 Å³/atom.

Most stable: Q) (next structure +274 meV per atom)